# 1
Compound: SrAl2B
Source: the Alexandria database
Functional: PBE
Structure: relaxed

Properties
V   25.3 Å³ per atom
Formation energy   366.3 meV per atom

Unit cell a=6.5814 b=6.5814 c=6.5814 alpha=119.73 beta=119.73 gamma=90.47
Last column: nearest neighbours and their distance in Å.
Fractional coordinates of all 8 atoms:
Sr: 0.0000 0.0000 0.0000  8 Al 3.65-3.86, 4 B 4.04, 4 Sr 4.04
Sr: 0.7500 0.2500 0.5000  8 Al 3.65-3.86, 4 B 4.04, 4 Sr 4.04
Al: 0.3346 0.6250 0.2096  2 B 2.04
Al: 0.3750 0.5846 0.7096  2 B 2.04
Al: 0.4154 0.1250 0.7904  2 B 2.04
Al: 0.8750 0.6654 0.2904  2 B 2.04
B: 0.2500 0.7500 0.5000  4 Al 2.04
B: 0.5000 0.5000 0.0000  4 Al 2.04

---

# 2
Compound: SrYAlB2
Source: the Alexandria database
Functional: PBE
Structure: relaxed

Properties
V   27.2 Å³ per atom
Formation energy   2215.0 meV per atom

Unit cell a=4.8073 b=4.8073 c=5.8933 alpha=90.00 beta=90.00 gamma=90.00
Last column: nearest neighbours and their distance in Å.
Fractional coordinates of all 5 atoms:
Sr: 0.0000 0.0000 0.0000  4 B 2.40
Y: 0.0000 0.0000 0.5000  2 Sr 2.95
Al: 0.5000 0.5000 0.5000  4 Y 3.40, 8 B 3.80
B: 0.0000 0.5000 0.0000  2 Sr 2.40
B: 0.5000 0.0000 0.0000  2 Sr 2.40

---

# 3
Compound: Ta4AlB
Source: the Alexandria database
Functional: PBE
Structure: relaxed

Properties
V   15.5 Å³ per atom
Formation energy   -398.9 meV per atom

Unit cell a=6.0800 b=6.0800 c=5.0468 alpha=90.00 beta=90.00 gamma=90.00
Last column: nearest neighbours and their distance in Å.
Fractional coordinates of all 12 atoms:
Ta: 0.1370 0.3154 0.0000  2 B 2.44
Ta: 0.1370 0.6846 0.5000  2 B 2.44
Ta: 0.3154 0.1370 0.5000  2 B 2.44
Ta: 0.3154 0.8630 0.0000  2 B 2.44
Ta: 0.6846 0.1370 0.0000  2 B 2.44
Ta: 0.6846 0.8630 0.5000  2 B 2.44
Ta: 0.8630 0.3154 0.5000  2 B 2.44
Ta: 0.8630 0.6846 0.0000  2 B 2.44
Al: 0.5000 0.5000 0.2500  2 Al 2.52, 8 Ta 2.78
Al: 0.5000 0.5000 0.7500  2 Al 2.52, 8 Ta 2.78
B: 0.0000 0.0000 0.2500  8 Ta 2.44, 2 B 2.52
B: 0.0000 0.0000 0.7500  8 Ta 2.44, 2 B 2.52

---

# 4
Compound: TaAlB2
Source: the Alexandria database
Functional: PBE
Structure: relaxed

Properties
V   12.3 Å³ per atom
Formation energy   393.4 meV per atom

Unit cell a=5.0364 b=5.0364 c=5.0364 alpha=109.39 beta=109.39 gamma=109.64
Last column: nearest neighbours and their distance in Å.
Fractional coordinates of all 8 atoms:
Ta: 0.0000 0.0000 0.0000  4 B 2.26
Ta: 0.7500 0.2500 0.5000  4 B 2.26
Al: 0.2500 0.7500 0.5000  4 B 2.11
Al: 0.5000 0.5000 0.0000  4 B 2.11
B: 0.1435 0.6250 0.0185  2 Al 2.11, 2 Ta 2.26
B: 0.3750 0.3935 0.5185  2 Al 2.11, 2 Ta 2.26
B: 0.6065 0.1250 0.9815  2 Al 2.11, 2 Ta 2.26
B: 0.8750 0.8565 0.4815  2 Al 2.11, 2 Ta 2.26

---

# 5
Compound: Ta5Al2B2
Source: the Alexandria database
Functional: PBE
Structure: relaxed

Properties
V   15.1 Å³ per atom
Formation energy   -304.6 meV per atom

Unit cell a=7.6672 b=7.6672 c=6.1574 alpha=90.00 beta=90.00 gamma=48.56
Last column: nearest neighbours and their distance in Å.
Fractional coordinates of all 18 atoms:
Ta: 0.0000 0.0000 0.0000  4 B 2.53-2.57, 8 Ta 2.73-2.79
Ta: 0.0684 0.7088 0.6857  3 B 2.41-2.44
Ta: 0.2088 0.5684 0.1857  3 B 2.41-2.44
Ta: 0.2912 0.9316 0.6857  3 B 2.41-2.44
Ta: 0.4316 0.7912 0.1857  3 B 2.41-2.44
Ta: 0.5000 0.5000 0.5000  4 B 2.53-2.57, 8 Ta 2.73-2.79
Ta: 0.5684 0.2088 0.8143  3 B 2.41-2.44
Ta: 0.7088 0.0684 0.3143  3 B 2.41-2.44
Ta: 0.7912 0.4316 0.8143  3 B 2.41-2.44
Ta: 0.9316 0.2912 0.3143  3 B 2.41-2.44
Al: 0.2301 0.2301 0.0000  6 Ta 2.74-2.85
Al: 0.2699 0.2699 0.5000  6 Ta 2.74-2.85
Al: 0.7301 0.7301 0.5000  6 Ta 2.74-2.85
Al: 0.7699 0.7699 0.0000  6 Ta 2.74-2.85
B: 0.1057 0.8943 0.3962  1 B 1.85
B: 0.3943 0.6057 0.8962  1 B 1.85
B: 0.6057 0.3943 0.1038  1 B 1.85
B: 0.8943 0.1057 0.6038  1 B 1.85

---

# 6
Compound: TaAlB
Source: the Alexandria database
Functional: PBE
Structure: relaxed

Properties
V   13.7 Å³ per atom
Energy above the most stable polymorph in this dataset   161 meV per atom
Formation energy   -343.2 meV per atom

Unit cell a=4.6094 b=4.6094 c=5.8125 alpha=92.89 beta=92.89 gamma=41.68
Last column: nearest neighbours and their distance in Å.
Fractional coordinates of all 6 atoms:
Ta: 0.1443 0.1443 0.3699  5 B 2.34-2.53
Ta: 0.8557 0.8557 0.6301  5 B 2.34-2.53
Al: 0.1416 0.1416 0.8772  2 B 2.28
Al: 0.8584 0.8584 0.1228  2 B 2.28
B: 0.4376 0.4376 0.3752  1 B 1.76
B: 0.5624 0.5624 0.6248  1 B 1.76